1.
The following is a DFT calculation (PBE) of a geometry-optimized CdGa4 structure.

Cell: 5.165 5.165 5.165 Å, 90.00 90.00 90.00°
Element x y z (fractional)
Cd 0.000 0.000 0.000
Ga 0.000 0.000 0.500
Ga 0.000 0.500 0.000
Ga 0.500 0.000 0.000
Ga 0.500 0.500 0.500

=====

2.
The following is a DFT calculation (PBE) of a geometry-optimized Pr2Er2Sc7 structure.

Cell: 7.623 7.623 5.773 Å, 106.23 106.23 90.75°
Element x y z (fractional)
Pr 0.239 0.239 0.092
Pr 0.761 0.761 0.908
Er 0.224 0.776 0.000
Er 0.776 0.224 0.000
Sc 0.000 0.000 0.500
Sc 0.064 0.600 0.346
Sc 0.400 0.936 0.654
Sc 0.405 0.405 0.694
Sc 0.595 0.595 0.306
Sc 0.600 0.064 0.346
Sc 0.936 0.400 0.654

=====

3.
The following is a DFT calculation (PBE) of a geometry-optimized La2AlHg2 structure.

Cell: 8.818 8.818 3.908 Å, 90.00 90.00 90.00°
Element x y z (fractional)
La 0.169 0.331 0.000
La 0.331 0.831 0.000
La 0.669 0.169 0.000
La 0.831 0.669 0.000
Al 0.000 0.000 0.000
Al 0.500 0.500 0.000
Hg 0.130 0.630 0.500
Hg 0.370 0.130 0.500
Hg 0.630 0.870 0.500
Hg 0.870 0.370 0.500

=====

4.
The following is a DFT calculation (PBE) of a geometry-optimized Ac6NdY2 structure.

Cell: 9.343 9.343 10.067 Å, 97.81 97.81 61.12°
Element x y z (fractional)
Ac 0.085 0.643 0.482
Ac 0.098 0.706 0.872
Ac 0.294 0.902 0.628
Ac 0.318 0.447 0.166
Ac 0.357 0.915 0.018
Ac 0.447 0.318 0.666
Ac 0.553 0.682 0.334
Ac 0.643 0.085 0.982
Ac 0.682 0.553 0.834
Ac 0.706 0.098 0.372
Ac 0.902 0.294 0.128
Ac 0.915 0.357 0.518
Nd 0.103 0.897 0.250
Nd 0.897 0.103 0.750
Y 0.139 0.300 0.852
Y 0.300 0.139 0.352
Y 0.700 0.861 0.648
Y 0.861 0.700 0.148

=====

| no. | DOS at the Fermi energy (states/eV/f.u.) | calculated formation energy (kcal/mol of atoms) | magnetization (μB per cell) |
| --- | --- | --- | --- |
| 1 | 1.765 | 11.87 | 0.00 |
| 2 | 19.612 | 4.02 | 0.00 |
| 3 | 6.103 | -3.99 | 0.00 |
| 4 | 15.033 | 3.73 | 0.00 |